(1)
# Li4Ni3WO8

A relaxed structure of Li4Ni3WO8 (PBEsol, Alexandria).

Unit cell a=5.848 b=5.848 c=5.848 alpha=60.06 beta=60.06 gamma=60.06
Each line ends with the local moment (μB).
Sites, in units of the cell vectors:
O 0.236 0.236 0.765  0.12
O 0.235 0.764 0.764  0.12
O 0.765 0.236 0.236  0.12
O 0.764 0.764 0.235  0.12
O 0.236 0.765 0.236  0.12
O 0.739 0.739 0.739  0.20
O 0.764 0.235 0.764  0.12
O 0.261 0.261 0.261  0.20
Li 0.000 0.000 0.500  0.01
Li 0.500 0.000 0.000  0.01
Li 0.500 0.500 0.500  0.00
Li 0.000 0.500 0.000  0.01
W 0.000 0.000 0.000  0.16
Ni 0.500 0.500 0.000  1.47
Ni 0.000 0.500 0.500  1.47
Ni 0.500 0.000 0.500  1.47

Computed properties:
space group: R-3m
calculated total energy: -6.68 eV/atom
crystal system: trigonal


(2)
# LiNi2Os

A relaxed structure of LiNi2Os (PBEsol, Alexandria).

Unit cell a=2.514 b=4.408 c=4.408 alpha=109.28 beta=90.00 gamma=90.00
Sites, in units of the cell vectors:
Li 0.500 0.500 0.500
Ni 0.000 0.000 0.500
Ni 0.000 0.500 0.000
Os 0.500 0.000 0.000

Computed properties:
DOS(E_F): 4.84 states/eV/f.u.
formation energy from the elements: 0.05 eV/atom
space group: Cmmm
offset from the most stable computed form: 0.021 eV per atom
crystal system: orthorhombic


(3)
# LiNiOs2

A relaxed structure of LiNiOs2 (PBEsol, Alexandria).

Unit cell a=3.028 b=3.028 c=5.203 alpha=90.00 beta=90.00 gamma=90.00
Sites, in units of the cell vectors:
Li 0.500 0.500 0.000
Os 0.000 0.000 0.241
Os 0.000 0.000 0.759
Ni 0.500 0.500 0.500

Computed properties:
DOS(E_F): 2.42 states/eV/f.u.
formation energy from the elements: 0.48 eV/atom
space group: P4/mmm
offset from the most stable computed form: 0.133 eV per atom
crystal system: tetragonal